[1]
Crystalline La3Pd2 at its relaxed geometry, computed with PBE.

```
data_La3Pd2
_chemical_formula_sum 'La9 Pd6'
_space_group_name_H-M_alt 'P 1'
_space_group_IT_number 1
_cell_length_a 7.852
_cell_length_b 7.852
_cell_length_c 7.852
_cell_angle_alpha 71.75
_cell_angle_beta 71.75
_cell_angle_gamma 71.75
loop_
_space_group_symop_operation_xyz
'x,y,z'
loop_
_atom_site_label
_atom_site_fract_x
_atom_site_fract_y
_atom_site_fract_z
_atom_site_occupancy
La1 0.000 0.000 0.000 1
Pd1 0.411 0.842 0.042 1
La2 0.389 0.171 0.663 1
Pd2 0.042 0.411 0.842 1
Pd3 0.842 0.042 0.411 1
La3 0.204 0.204 0.204 1
La4 0.337 0.611 0.829 1
Pd4 0.589 0.158 0.958 1
Pd5 0.158 0.958 0.589 1
Pd6 0.958 0.589 0.158 1
La5 0.171 0.663 0.389 1
La6 0.611 0.829 0.337 1
La7 0.829 0.337 0.611 1
La8 0.796 0.796 0.796 1
La9 0.663 0.389 0.171 1
```

Summary:
- Energy relative to the elements: -0.66 eV per atom
- Calculated volume: 28.272 Å³/atom

***

[2]
Crystalline MgSnS2N at its relaxed geometry, computed with PBE.

```
data_MgSnS2N
_chemical_formula_sum 'Mg1 Sn1 S2 N1'
_space_group_name_H-M_alt 'P 1'
_space_group_IT_number 1
_cell_length_a 4.974
_cell_length_b 4.974
_cell_length_c 3.938
_cell_angle_alpha 90.00
_cell_angle_beta 90.00
_cell_angle_gamma 90.00
loop_
_space_group_symop_operation_xyz
'x,y,z'
loop_
_atom_site_label
_atom_site_fract_x
_atom_site_fract_y
_atom_site_fract_z
_atom_site_occupancy
S1 0.500 0.000 0.000 1
Sn1 0.500 0.500 0.500 1
N1 0.000 0.000 0.500 1
Mg1 0.000 0.000 0.000 1
S2 0.000 0.500 0.000 1
```

Summary:
- Calculated volume: 19.486 Å³/atom
- E_form (uncorrected): 0.45 eV per atom

***

no.,uncorrected energy (eV per atom),size of the total moment (μB/f.u.)
1,-5.689,0.00
2,-3.981,0.14